(A)
Computed, not measured: an optimized crystal structure of SrDy2Mg at the PBE-GGA level of DFT.

Cell and atoms, written as CIF:
```
data_SrDy2Mg
_chemical_formula_sum 'Sr1 Dy2 Mg1'
_symmetry_space_group_name_H-M 'P 4/m m m'
_symmetry_Int_Tables_number 123
_symmetry_space_group_name_Hall '-P 4 2'
_cell_length_a 3.816
_cell_length_b 3.816
_cell_length_c 9.336
_cell_angle_alpha 90.00
_cell_angle_beta 90.00
_cell_angle_gamma 90.00
loop_
_atom_site_label
_atom_site_type_symbol
_atom_site_fract_x
_atom_site_fract_y
_atom_site_fract_z
_atom_site_occupancy
Sr1 Sr 0.000 0.000 0.000 1
Dy1 Dy 0.500 0.500 0.309 1
Mg1 Mg 0.000 0.000 0.500 1
```

D(E_F) ... 4.8 states/eV per cell



(B)
Computed, not measured: an optimized crystal structure of SrDy2Mg at the PBE-GGA level of DFT.

Cell and atoms, written as CIF:
```
data_SrDy2Mg
_chemical_formula_sum 'Sr3 Dy6 Mg3'
_symmetry_space_group_name_H-M 'R -3 m'
_symmetry_Int_Tables_number 166
_symmetry_space_group_name_Hall '-R 3 2"'
_cell_length_a 3.5829
_cell_length_b 3.5829
_cell_length_c 37.1610
_cell_angle_alpha 90.00
_cell_angle_beta 90.00
_cell_angle_gamma 120.00
loop_
_atom_site_label
_atom_site_type_symbol
_atom_site_fract_x
_atom_site_fract_y
_atom_site_fract_z
_atom_site_occupancy
Sr1 Sr 0.0000 0.0000 0.0000 1
Dy1 Dy 0.0000 0.0000 0.0964 1
Mg1 Mg 0.0000 0.0000 0.5000 1
```

D(E_F) ... 19.9 states/eV per cell



It is (B) that is the least stable of them.



(A)
Computed, not measured: an optimized crystal structure of SrDyMg2 at the PBE-GGA level of DFT.

Cell and atoms, written as CIF:
```
data_SrDyMg2
_chemical_formula_sum 'Sr4 Dy4 Mg8'
_symmetry_space_group_name_H-M 'F m -3 m'
_symmetry_Int_Tables_number 225
_symmetry_space_group_name_Hall '-F 4 2 3'
_cell_length_a 7.956
_cell_length_b 7.956
_cell_length_c 7.956
_cell_angle_alpha 90.00
_cell_angle_beta 90.00
_cell_angle_gamma 90.00
loop_
_atom_site_label
_atom_site_type_symbol
_atom_site_fract_x
_atom_site_fract_y
_atom_site_fract_z
_atom_site_occupancy
Sr1 Sr 0.000 0.000 0.000 1
Dy1 Dy 0.000 0.000 0.500 1
Mg1 Mg 0.250 0.250 0.250 1
```

D(E_F) ... 18.3 states/eV per cell



(B)
Computed, not measured: an optimized crystal structure of SrDyMg2 at the PBE-GGA level of DFT.

Cell and atoms, written as CIF:
```
data_SrDyMg2
_chemical_formula_sum 'Sr1 Dy1 Mg2'
_symmetry_space_group_name_H-M 'P 4/m m m'
_symmetry_Int_Tables_number 123
_symmetry_space_group_name_Hall '-P 4 2'
_cell_length_a 3.978
_cell_length_b 3.978
_cell_length_c 7.982
_cell_angle_alpha 90.00
_cell_angle_beta 90.00
_cell_angle_gamma 90.00
loop_
_atom_site_label
_atom_site_type_symbol
_atom_site_fract_x
_atom_site_fract_y
_atom_site_fract_z
_atom_site_occupancy
Sr1 Sr 0.000 0.000 0.000 1
Dy1 Dy 0.000 0.000 0.500 1
Mg1 Mg 0.500 0.500 0.284 1
```

D(E_F) ... 4.4 states/eV per cell



It is (A) that is the least stable of them.